[1]
{
  "formula": "Tm2Ge2O7",
  "functional": "PBE",
  "state": "optimized geometry",
  "m_tot_mub_per_atom": 0.00,
  "energy_ev_per_atom": -7.451,
  "formation_energy_uncorrected_ev_per_atom": -2.643,
  "lattice_angstrom": [[6.8003, 0.0000, 0.0000], [0.0000, 6.8003, 0.0000], [0.0000, 0.0000, 12.3673]],
  "species": ["Tm", "Tm", "Tm", "Tm", "Tm", "Tm", "Tm", "Tm", "Ge", "Ge", "Ge", "Ge", "Ge", "Ge", "Ge", "Ge", "O", "O", "O", "O", "O", "O", "O", "O", "O", "O", "O", "O", "O", "O", "O", "O", "O", "O", "O", "O", "O", "O", "O", "O", "O", "O", "O", "O"],
  "fractional_positions": [[0.1262, 0.3549, 0.1148], [0.1451, 0.6262, 0.3648], [0.3549, 0.1262, 0.8852], [0.3738, 0.8549, 0.1352], [0.6262, 0.1451, 0.6352], [0.6451, 0.8738, 0.3852], [0.8549, 0.3738, 0.8648], [0.8738, 0.6451, 0.6148], [0.1003, 0.1505, 0.6320], [0.1505, 0.1003, 0.3680], [0.3495, 0.6003, 0.8820], [0.3997, 0.6505, 0.6180], [0.6003, 0.3495, 0.1180], [0.6505, 0.3997, 0.3820], [0.8495, 0.8997, 0.8680], [0.8997, 0.8495, 0.1320], [0.0350, 0.0795, 0.8714], [0.0664, 0.6619, 0.1794], [0.0795, 0.0350, 0.1286], [0.1435, 0.3208, 0.2940], [0.1619, 0.4336, 0.9294], [0.1792, 0.6435, 0.5440], [0.1965, 0.1965, 0.5000], [0.3035, 0.6965, 0.7500], [0.3208, 0.1435, 0.7060], [0.3381, 0.9336, 0.3206], [0.3565, 0.8208, 0.9560], [0.4205, 0.5350, 0.1214], [0.4336, 0.1619, 0.0706], [0.4650, 0.5795, 0.3786], [0.5350, 0.4205, 0.8786], [0.5664, 0.8381, 0.5706], [0.5795, 0.4650, 0.6214], [0.6435, 0.1792, 0.4560], [0.6619, 0.0664, 0.8206], [0.6792, 0.8565, 0.2060], [0.6965, 0.3035, 0.2500], [0.8035, 0.8035, 0.0000], [0.8208, 0.3565, 0.0440], [0.8381, 0.5664, 0.4294], [0.8565, 0.6792, 0.7940], [0.9205, 0.9650, 0.6286], [0.9336, 0.3381, 0.6794], [0.9650, 0.9205, 0.3714]]
}

---

[2]
{
  "formula": "Li2PrScTl4",
  "functional": "PBE",
  "state": "optimized geometry",
  "m_tot_mub_per_atom": 0.00,
  "formation_enthalpy_0k_ev_per_atom": -0.288,
  "energy_ev_per_atom": -3.339,
  "lattice_angstrom": [[2.5587, 1.4772, 8.6260], [-2.5587, 1.4772, 8.6260], [0.0000, -2.9545, 8.6260]],
  "species": ["Li", "Li", "Pr", "Sc", "Tl", "Tl", "Tl", "Tl"],
  "fractional_positions": [[0.2470, 0.2470, 0.2470], [0.7530, 0.7530, 0.7530], [0.0000, 0.0000, 0.0000], [0.5000, 0.5000, 0.5000], [0.1287, 0.1287, 0.1287], [0.3831, 0.3831, 0.3831], [0.6169, 0.6169, 0.6169], [0.8713, 0.8713, 0.8713]]
}

---

[3]
{
  "formula": "CsK2BeP2",
  "functional": "PBE",
  "state": "optimized geometry",
  "m_tot_mub_per_atom": 0.00,
  "formation_enthalpy_0k_ev_per_atom": -0.193,
  "energy_ev_per_atom": -3.125,
  "lattice_angstrom": [[-4.0720, 7.3182, 3.6396], [4.0720, -7.3182, 3.6396], [4.0720, 7.3182, -3.6396]],
  "species": ["Cs", "Cs", "K", "K", "K", "K", "Be", "Be", "P", "P", "P", "P"],
  "fractional_positions": [[0.2500, 0.2500, 0.0000], [0.7500, 0.7500, 0.0000], [0.1844, 0.6618, 0.8463], [0.3156, 0.1618, 0.4774], [0.6844, 0.8382, 0.5226], [0.8156, 0.3382, 0.1537], [0.2500, 0.7500, 0.5000], [0.7500, 0.2500, 0.5000], [0.0430, 0.3736, 0.4166], [0.4570, 0.8736, 0.3306], [0.5430, 0.1264, 0.6694], [0.9570, 0.6264, 0.5834]]
}

---

[4]
{
  "formula": "Na4Au2O",
  "functional": "PBE",
  "state": "optimized geometry",
  "m_tot_mub_per_atom": 0.00,
  "relative_energy_mev_per_atom": 182.3,
  "energy_ev_per_atom": -2.853,
  "formation_energy_uncorrected_ev_per_atom": -0.454,
  "lattice_angstrom": [[4.3411, 0.0000, 0.0000], [0.0000, 4.3411, 0.0000], [0.0000, 0.0000, 18.3350]],
  "species": ["Na", "Na", "Na", "Na", "Na", "Na", "Na", "Na", "Au", "Au", "Au", "Au", "O", "O"],
  "fractional_positions": [[0.0000, 0.0000, 0.1972], [0.0000, 0.0000, 0.8028], [0.0000, 0.5000, 0.0000], [0.0000, 0.5000, 0.5000], [0.5000, 0.0000, 0.0000], [0.5000, 0.0000, 0.5000], [0.5000, 0.5000, 0.3028], [0.5000, 0.5000, 0.6972], [0.0000, 0.0000, 0.3599], [0.0000, 0.0000, 0.6401], [0.5000, 0.5000, 0.1401], [0.5000, 0.5000, 0.8599], [0.0000, 0.0000, 0.5000], [0.5000, 0.5000, 0.0000]]
}

---

[5]
{
  "formula": "Dy2PaS6",
  "functional": "PBE",
  "state": "optimized geometry",
  "m_tot_mub_per_atom": 0.00,
  "energy_ev_per_atom": -6.430,
  "formation_energy_uncorrected_ev_per_atom": -1.600,
  "lattice_angstrom": [[6.3535, 0.0000, 0.0000], [0.0000, 6.3535, 0.0000], [0.0000, 0.0000, 12.2056]],
  "species": ["Dy", "Dy", "Dy", "Dy", "Pa", "Pa", "S", "S", "S", "S", "S", "S", "S", "S", "S", "S", "S", "S"],
  "fractional_positions": [[0.0000, 0.0000, 0.1666], [0.0000, 0.0000, 0.8334], [0.5000, 0.5000, 0.3334], [0.5000, 0.5000, 0.6666], [0.0000, 0.0000, 0.5000], [0.5000, 0.5000, 0.0000], [0.1949, 0.1949, 0.3385], [0.1949, 0.1949, 0.6615], [0.2046, 0.2046, 0.0000], [0.2954, 0.7046, 0.5000], [0.3051, 0.6949, 0.1615], [0.3051, 0.6949, 0.8385], [0.6949, 0.3051, 0.1615], [0.6949, 0.3051, 0.8385], [0.7046, 0.2954, 0.5000], [0.7954, 0.7954, 0.0000], [0.8051, 0.8051, 0.3385], [0.8051, 0.8051, 0.6615]]
}

---

[6]
{
  "formula": "CaIn3Ir",
  "functional": "PBE",
  "state": "optimized geometry",
  "m_tot_mub_per_atom": 0.00,
  "relative_energy_mev_per_atom": 127.8,
  "formation_enthalpy_0k_ev_per_atom": -0.225,
  "energy_ev_per_atom": -4.041,
  "lattice_angstrom": [[6.9683, 0.0000, 0.0000], [-3.4842, 6.0348, 0.0000], [0.0000, 0.0000, 5.8603]],
  "species": ["Ca", "Ca", "In", "In", "In", "In", "In", "In", "Ir", "Ir"],
  "fractional_positions": [[0.3333, 0.6667, 0.2500], [0.6667, 0.3333, 0.7500], [0.1871, 0.3741, 0.7500], [0.1871, 0.8129, 0.7500], [0.3741, 0.1871, 0.2500], [0.6259, 0.8129, 0.7500], [0.8129, 0.1871, 0.2500], [0.8129, 0.6259, 0.2500], [0.0000, 0.0000, 0.0000], [0.0000, 0.0000, 0.5000]]
}